1.
First-principles (PBE) data for a relaxed structure of Ho4TcPb, as listed in the Alexandria database.

Properties
* SG: C2/c, No. 15
* M_tot: 0.00 μB per formula unit
* energy of formation from the pure elements: -293 meV per atom

Cell lengths 6.1672, 8.0044, 8.0044 Å; angles 113.11, 101.33, 101.33 degrees
With the nearest neighbours (Å) after each atom.
Element x y z (fractional)
Ho 0.8646 0.6532 0.7972  2 Tc 2.89-2.92
Ho 0.1354 0.3468 0.2028  2 Tc 2.89-2.92
Ho 0.4442 0.7244 0.0581  2 Tc 2.85-2.86
Ho 0.0558 0.9419 0.2756  2 Tc 2.85-2.86
Ho 0.5558 0.2756 0.9419  2 Tc 2.85-2.86
Ho 0.3646 0.7972 0.6532  2 Tc 2.89-2.92
Ho 0.9442 0.0581 0.7244  2 Tc 2.85-2.86
Ho 0.6354 0.2028 0.3468  2 Tc 2.89-2.92
Pb 0.2500 0.3717 0.6283  6 Ho 3.26-3.27
Pb 0.7500 0.6283 0.3717  6 Ho 3.26-3.27
Tc 0.2500 0.0004 0.9996  8 Ho 2.85-2.92, 2 Tc 3.08
Tc 0.7500 0.9996 0.0004  8 Ho 2.85-2.92, 2 Tc 3.08

=====

2.
First-principles (PBE) data for a relaxed structure of Ho2TcPb, as listed in the Alexandria database.

Properties
* SG: P4/mmm, No. 123
* M_tot: 0.00 μB per formula unit
* energy of formation from the pure elements: -235 meV per atom
* energy above the lowest structure with this stoichiometry: 0.000 eV/atom

Cell lengths 3.5631, 3.5631, 7.5680 Å; angles 90.00, 90.00, 90.00 degrees
With the nearest neighbours (Å) after each atom.
Element x y z (fractional)
Tc 0.5000 0.5000 0.0000  8 Ho 2.98
Pb 0.5000 0.5000 0.5000  8 Ho 3.34, 4 Pb 3.56
Ho 0.0000 0.0000 0.2104  4 Tc 2.98, 1 Ho 3.18
Ho 0.0000 0.0000 0.7896  4 Tc 2.98, 1 Ho 3.18

=====

3.
First-principles (PBE) data for a relaxed structure of Ho8Tc2Pb, as listed in the Alexandria database.

Properties
* SG: P1, No. 1
* M_tot: 0.00 μB per formula unit
* energy of formation from the pure elements: -115 meV per atom

Cell lengths 5.1961, 7.0065, 9.0167 Å; angles 110.46, 106.74, 90.11 degrees
With the nearest neighbours (Å) after each atom.
Element x y z (fractional)
Ho 0.5392 0.6954 0.7130  1 Tc 2.79
Ho 0.9294 0.4564 0.4940  3 Tc 3.03-3.05, 5 Ho 3.25-3.29
Ho 0.6213 0.2520 0.8776  2 Tc 2.86-2.99
Ho 0.7554 0.9661 0.1481  1 Tc 2.75
Ho 0.3065 0.3482 0.2472  1 Tc 2.87, 1 Pb 3.14
Ho 0.3518 0.8443 0.3432  3 Tc 2.87-3.10
Ho 0.9651 0.0334 0.5685  1 Pb 3.10, 2 Tc 3.11-3.12, 3 Ho 3.22-3.25
Ho 0.1575 0.5558 0.9470  1 Pb 3.08, 4 Ho 3.27-3.40, 2 Tc 3.33-3.37
Tc 0.7802 0.6040 0.2030  3 Ho 2.75-3.05
Tc 0.4579 0.2703 0.5517  8 Ho 2.79-3.12
Pb 0.1357 0.9742 0.9068  9 Ho 3.08-3.35